[1]
An optimized crystal structure of Pr3CuAg. Source: the Alexandria database, functional GGA-PBE.

Cell: 5.2472 5.2558 10.4451 Å, 90.00 75.45 90.00°
With the nearest neighbours (Å) after each atom.
Atoms (fractional coordinates):
Ag: 0.6655 0.7500 0.3174  8 Pr 3.21
Ag: 0.9829 0.2500 0.6826  8 Pr 3.21
Pr: 0.0743 0.7500 0.4997  4 Ag 3.21, 4 Cu 3.21
Pr: 0.8914 0.7500 0.8655  2 Cu 3.21, 2 Ag 3.21
Pr: 0.3912 0.2500 0.8660  2 Ag 3.21, 2 Cu 3.22
Pr: 0.7569 0.2500 0.1345  2 Cu 3.21, 2 Ag 3.21
Pr: 0.5740 0.2500 0.5003  4 Ag 3.21, 4 Cu 3.21
Pr: 0.2572 0.7500 0.1340  2 Ag 3.21, 2 Cu 3.22
Cu: 0.1653 0.2500 0.3177  8 Pr 3.21-3.22
Cu: 0.4830 0.7500 0.6823  8 Pr 3.21-3.22

Computed properties:
The formation energy is -11.6 kJ/mol of atoms. Its total energy is -4.38 eV per atom. The space group is Cmcm (63).


[2]
An optimized crystal structure of TlZnRh2. Source: the Alexandria database, functional GGA-PBE.

Cell: 2.9655 3.8386 5.8479 Å, 90.00 90.00 90.00°
With the nearest neighbours (Å) after each atom.
Atoms (fractional coordinates):
Rh: 0.5000 0.5000 0.2426  1 Zn 2.57, 4 Tl 2.80
Rh: 0.0000 0.0000 0.9715  4 Zn 2.62, 1 Tl 2.86, 4 Rh 2.90
Zn: 0.5000 0.5000 0.8031  5 Rh 2.57-2.62
Tl: 0.0000 0.0000 0.4828  6 Rh 2.80-2.99, 2 Tl 2.97, 4 Zn 3.06

Computed properties:
The formation energy is 6.4 kJ/mol of atoms. Its total energy is -4.52 eV per atom. The space group is Pmm2 (25).


[3]
An optimized crystal structure of CuPt. Source: the Alexandria database, functional GGA-PBE.

Cell: 8.0577 14.9483 4.0192 Å, 90.00 90.00 90.00°
With the nearest neighbours (Å) after each atom.
Atoms (fractional coordinates):
Pt: 0.2500 0.1639 0.2500  3 Pt 2.53-2.57, 6 Cu 2.72-2.74
Pt: 0.0000 0.5861 0.0000  3 Pt 2.53-2.57, 6 Cu 2.72-2.74
Pt: 0.7500 0.6639 0.2500  3 Pt 2.53-2.57, 6 Cu 2.72-2.74
Pt: 0.7500 0.1639 0.7500  3 Pt 2.53-2.57, 6 Cu 2.72-2.74
Pt: 0.2500 0.6639 0.7500  3 Pt 2.53-2.57, 6 Cu 2.72-2.74
Pt: 0.7500 0.3361 0.7500  3 Pt 2.53-2.57, 6 Cu 2.72-2.74
Pt: 0.5000 0.5861 0.5000  3 Pt 2.53-2.57, 6 Cu 2.72-2.74
Pt: 0.5000 0.9139 0.0000  3 Pt 2.53-2.57, 6 Cu 2.72-2.74
Pt: 0.0000 0.0861 0.5000  3 Pt 2.53-2.57, 6 Cu 2.72-2.74
Pt: 0.0000 0.9139 0.5000  3 Pt 2.53-2.57, 6 Cu 2.72-2.74
Pt: 0.5000 0.0861 0.0000  3 Pt 2.53-2.57, 6 Cu 2.72-2.74
Pt: 0.2500 0.3361 0.2500  3 Pt 2.53-2.57, 6 Cu 2.72-2.74
Pt: 0.2500 0.8361 0.7500  3 Pt 2.53-2.57, 6 Cu 2.72-2.74
Pt: 0.0000 0.4139 0.0000  3 Pt 2.53-2.57, 6 Cu 2.72-2.74
Pt: 0.5000 0.4139 0.5000  3 Pt 2.53-2.57, 6 Cu 2.72-2.74
Pt: 0.7500 0.8361 0.2500  3 Pt 2.53-2.57, 6 Cu 2.72-2.74
Cu: 0.3384 0.0000 0.5000  3 Cu 2.46-2.60, 6 Pt 2.72-2.74
Cu: 0.3384 0.5000 0.0000  3 Cu 2.46-2.60, 6 Pt 2.72-2.74
Cu: 0.6616 0.0000 0.5000  3 Cu 2.46-2.60, 6 Pt 2.72-2.74
Cu: 0.8384 0.5000 0.5000  3 Cu 2.46-2.60, 6 Pt 2.72-2.74
Cu: 0.8384 0.0000 0.0000  3 Cu 2.46-2.60, 6 Pt 2.72-2.74
Cu: 0.9116 0.2500 0.2500  3 Cu 2.46-2.60, 6 Pt 2.72-2.74
Cu: 0.4116 0.2500 0.7500  3 Cu 2.46-2.60, 6 Pt 2.72-2.74
Cu: 0.0884 0.7500 0.2500  3 Cu 2.46-2.60, 6 Pt 2.72-2.74
Cu: 0.5884 0.7500 0.7500  3 Cu 2.46-2.60, 6 Pt 2.72-2.74
Cu: 0.4116 0.7500 0.2500  3 Cu 2.46-2.60, 6 Pt 2.72-2.74
Cu: 0.1616 0.0000 0.0000  3 Cu 2.46-2.60, 6 Pt 2.72-2.74
Cu: 0.5884 0.2500 0.2500  3 Cu 2.46-2.60, 6 Pt 2.72-2.74
Cu: 0.1616 0.5000 0.5000  3 Cu 2.46-2.60, 6 Pt 2.72-2.74
Cu: 0.0884 0.2500 0.7500  3 Cu 2.46-2.60, 6 Pt 2.72-2.74
Cu: 0.9116 0.7500 0.7500  3 Cu 2.46-2.60, 6 Pt 2.72-2.74
Cu: 0.6616 0.5000 0.0000  3 Cu 2.46-2.60, 6 Pt 2.72-2.74

Computed properties:
The formation energy is 6.6 kJ/mol of atoms. Its total energy is -5.00 eV per atom. The space group is Fddd (70).